A geometry-optimized K4Cu2SbAs structure. Source: the Open Quantum Materials Database, functional PBE.

Lattice parameters (Å, degrees): 6.077 6.430 6.430 106.10 90.00 90.00
Fractional positions:
1 Sb 0.500 0.238 0.238
2 As 0.000 0.746 0.746
3 Cu 0.774 0.992 0.992
4 Cu 0.226 0.992 0.992
5 K 0.500 0.822 0.494
6 K 0.500 0.494 0.822
7 K 0.000 0.533 0.183
8 K 0.000 0.183 0.533

## Properties
Energy: -2.92 eV/atom

=====

A geometry-optimized KZn2Cu2As3 structure. Source: the Open Quantum Materials Database, functional PBE.

Lattice parameters (Å, degrees): 11.491 11.491 11.491 20.77 20.77 20.77
Fractional positions:
1 Zn 0.920 0.920 0.920
2 Zn 0.080 0.080 0.080
3 As 0.237 0.237 0.237
4 As 0.000 0.000 0.000
5 As 0.763 0.763 0.763
6 Cu 0.309 0.309 0.309
7 Cu 0.691 0.691 0.691
8 K 0.500 0.500 0.500

## Properties
Energy: -3.31 eV/atom

=====

A geometry-optimized LaNdCu2As4 structure. Source: the Open Quantum Materials Database, functional PBE.

Lattice parameters (Å, degrees): 4.002 4.002 10.258 90.00 90.00 90.00
Fractional positions:
1 As 0.500 0.000 0.004
2 As 0.500 0.500 0.646
3 As 0.000 0.500 0.004
4 As 0.000 0.000 0.350
5 Cu 0.000 0.500 0.499
6 Cu 0.500 0.000 0.499
7 La 0.000 0.000 0.760
8 Nd 0.500 0.500 0.239

## Properties
Energy: -5.32 eV/atom